1.
Density functional theory data (PBE-GGA) for an optimized crystal structure of AcLa2Y5Ho.

Structure (extended XYZ):
```
18
Lattice="-4.387 4.387 8.058 4.387 -4.387 8.058 4.387 4.387 -8.058" Properties=species:S:1:pos:R:3 pbc="T T T"
Ac 4.387 0.000 4.029
Ac 0.000 4.387 4.029
La 5.407 1.020 0.000
La 1.020 3.367 0.000
La 3.367 1.020 8.058
La -1.020 3.367 8.058
Y 0.000 0.000 0.000
Y 2.493 1.895 -2.213
Y 2.493 -1.895 5.845
Y 2.493 1.895 2.213
Y 2.493 -1.895 10.271
Y 0.000 0.000 8.058
Y 1.895 6.282 -2.213
Y 1.895 2.493 5.845
Y 1.895 6.282 2.213
Y 1.895 2.493 10.271
Ho 0.000 0.000 4.029
Ho 0.000 0.000 12.087
```

Calculated values
Its crystal system is tetragonal. For the total energy, the calculation gives -5.3924 eV per atom. The calculation puts the density of states at the Fermi level at 22.69 states/eV/cell. Its formation enthalpy at 0 K is 0.259 eV/atom. As for the space group: I4/mcm, No. 140.

2.
Density functional theory data (PBE-GGA) for an optimized crystal structure of LiNpP2.

Structure (extended XYZ):
```
16
Lattice="20.201 0.000 0.000 0.000 3.697 0.000 0.000 0.000 3.697" Properties=species:S:1:pos:R:3 pbc="T T T"
Li 5.050 0.924 0.921
Li 5.050 2.773 2.769
Li 15.151 0.924 0.927
Li 15.151 2.773 2.776
Np 2.208 0.924 2.771
Np 7.892 2.773 0.922
Np 12.309 0.924 2.775
Np 17.993 2.773 0.926
P 0.000 0.924 0.922
P 0.000 2.773 2.775
P 3.332 2.773 0.922
P 6.768 0.924 2.770
P 10.101 0.924 0.926
P 10.101 2.773 2.770
P 13.433 2.773 0.927
P 16.869 0.924 2.775
```

Calculated values
Its crystal system is orthorhombic. As for the excess energy over the best structure of this formula in the dataset: 0.000 eV per atom. For the total energy, the calculation gives -7.1102 eV per atom. The calculation puts the density of states at the Fermi level at 22.60 states/eV/cell. Its formation enthalpy at 0 K is -0.692 eV/atom. As for the space group: Pnma, No. 62.

3.
Density functional theory data (PBE-GGA) for an optimized crystal structure of ZnCu2F6.

Structure (extended XYZ):
```
18
Lattice="4.634 0.000 0.000 0.000 5.724 0.000 0.000 0.000 8.513" Properties=species:S:1:pos:R:3 pbc="T T T"
Zn 0.000 0.000 0.000
Zn 2.317 2.862 4.257
Cu 0.000 2.862 1.532
Cu 0.000 2.862 6.982
Cu 2.317 0.000 2.725
Cu 2.317 0.000 5.788
F 0.891 1.938 0.000
F 1.141 2.024 2.820
F 1.141 2.024 5.693
F 1.175 4.887 1.436
F 1.175 4.887 7.077
F 1.425 4.800 4.257
F 3.208 0.925 4.257
F 3.458 0.838 1.436
F 3.458 0.838 7.077
F 3.492 3.700 2.820
F 3.492 3.700 5.693
F 3.742 3.787 0.000
```

Calculated values
The calculation puts the formation energy from raw total energies at -1.75 eV per atom. Its crystal system is orthorhombic. For the total energy, the calculation gives -4.0471 eV per atom. The calculation puts the density of states at the Fermi level at 0.15 states/eV/cell. As for the space group: Pnnm, No. 58.

4.
Density functional theory data (PBE-GGA) for an optimized crystal structure of Pr2HoTmTl2.

Structure (extended XYZ):
```
12
Lattice="5.134 0.000 0.000 0.000 10.238 0.000 0.000 0.000 6.899" Properties=species:S:1:pos:R:3 pbc="T T T"
Pr 0.000 0.452 0.000
Pr 0.000 9.786 3.449
Pr 2.567 1.932 1.844
Pr 2.567 8.306 5.293
Ho 2.567 4.700 6.205
Ho 2.567 5.538 2.756
Tm 0.000 3.235 4.252
Tm 0.000 7.003 0.803
Tl 0.000 3.888 1.086
Tl 0.000 6.351 4.535
Tl 2.567 1.520 5.095
Tl 2.567 8.718 1.646
```

Calculated values
Its crystal system is orthorhombic. For the total energy, the calculation gives -4.1525 eV per atom. The calculation puts the density of states at the Fermi level at 12.39 states/eV/cell. Its formation enthalpy at 0 K is -0.262 eV/atom. As for the space group: Pmc2_1, No. 26.

5.
Density functional theory data (PBE-GGA) for an optimized crystal structure of Na2MnCdAu.

Structure (extended XYZ):
```
5
Lattice="5.511 0.000 0.000 0.000 5.511 0.000 0.000 0.000 5.204" Properties=species:S:1:pos:R:3 pbc="T T T"
Na 0.000 2.755 0.000
Na 2.755 0.000 0.000
Mn 0.000 0.000 2.602
Cd 2.755 2.755 0.000
Au 2.755 2.755 2.602
```

Calculated values
Its crystal system is tetragonal. For the total energy, the calculation gives -2.5581 eV per atom. The calculation puts the density of states at the Fermi level at 3.57 states/eV/cell. Its formation enthalpy at 0 K is 0.642 eV/atom. As for the space group: P4/mmm, No. 123.

6.
Density functional theory data (PBE-GGA) for an optimized crystal structure of MgNpIrPt.

Structure (extended XYZ):
```
16
Lattice="6.665 0.000 0.000 0.000 6.665 0.000 0.000 0.000 6.665" Properties=species:S:1:pos:R:3 pbc="T T T"
Mg 0.000 0.000 0.000
Mg 0.000 3.333 3.333
Mg 3.333 0.000 3.333
Mg 3.333 3.333 0.000
Np 0.000 0.000 3.333
Np 0.000 3.333 0.000
Np 3.333 0.000 0.000
Np 3.333 3.333 3.333
Ir 1.666 1.666 4.999
Ir 1.666 4.999 1.666
Ir 4.999 1.666 1.666
Ir 4.999 4.999 4.999
Pt 1.666 1.666 1.666
Pt 1.666 4.999 4.999
Pt 4.999 1.666 4.999
Pt 4.999 4.999 1.666
```

Calculated values
Its crystal system is cubic. For the total energy, the calculation gives -7.8200 eV per atom. The calculation puts the density of states at the Fermi level at 26.66 states/eV/cell. Its formation enthalpy at 0 K is -0.461 eV/atom. As for the space group: F-43m, No. 216.

7.
Density functional theory data (PBE-GGA) for an optimized crystal structure of BiRhSe2.

Structure (extended XYZ):
```
16
Lattice="6.169 0.000 0.000 0.000 11.128 0.000 -1.661 0.000 5.836" Properties=species:S:1:pos:R:3 pbc="T T T"
Bi -0.415 2.338 1.459
Bi -1.246 8.790 4.377
Bi 1.839 3.226 4.377
Bi 2.669 7.902 1.459
Rh -1.246 2.816 4.377
Rh -0.415 8.312 1.459
Rh 2.669 2.748 1.459
Rh 1.839 8.380 4.377
Se 1.221 4.427 0.296
Se 0.391 6.701 3.214
Se 0.202 1.137 5.539
Se 1.033 9.991 2.622
Se 3.475 1.137 3.214
Se 4.306 9.991 0.296
Se 4.118 4.427 2.622
Se 3.287 6.701 5.539
```

Calculated values
The calculation puts the formation energy from raw total energies at -0.22 eV per atom. Its crystal system is monoclinic. For the total energy, the calculation gives -4.7717 eV per atom. The calculation puts the density of states at the Fermi level at 7.01 states/eV/cell. As for the space group: C2/c, No. 15.

8.
Density functional theory data (PBE-GGA) for an optimized crystal structure of Y3Ge2Pd7.

Structure (extended XYZ):
```
12
Lattice="-2.025 2.025 13.762 2.025 -2.025 13.762 2.025 2.025 -13.762" Properties=species:S:1:pos:R:3 pbc="T T T"
Y 0.000 0.000 0.000
Y 0.000 0.000 4.786
Y 0.000 0.000 22.738
Ge 0.000 0.000 10.151
Ge 0.000 0.000 17.373
Pd 2.025 0.000 2.157
Pd 0.000 0.000 7.643
Pd 2.025 0.000 11.605
Pd 0.000 0.000 13.762
Pd 0.000 2.025 2.157
Pd 0.000 0.000 19.881
Pd 0.000 2.025 11.605
```

Calculated values
Its crystal system is tetragonal. For the total energy, the calculation gives -6.2256 eV per atom. The calculation puts the density of states at the Fermi level at 7.80 states/eV/cell. Its formation enthalpy at 0 K is -0.811 eV/atom. As for the space group: I4/mmm, No. 139.

9.
Density functional theory data (PBE-GGA) for an optimized crystal structure of La2Tb4Ge3O2.

Structure (extended XYZ):
```
11
Lattice="-2.310 2.310 12.246 2.310 -2.310 12.246 2.310 2.310 -12.246" Properties=species:S:1:pos:R:3 pbc="T T T"
La 0.000 0.000 4.827
La 0.000 0.000 19.665
Tb 2.310 0.000 1.930
Tb 2.310 0.000 10.316
Tb 0.000 2.310 1.930
Tb 0.000 2.310 10.316
Ge 0.000 0.000 8.088
Ge 0.000 0.000 12.246
Ge 0.000 0.000 16.404
O 0.000 0.000 2.250
O 0.000 0.000 22.243
```

Calculated values
The calculation puts the formation energy from raw total energies at -1.60 eV per atom. Its crystal system is tetragonal. For the total energy, the calculation gives -6.3378 eV per atom. The calculation puts the density of states at the Fermi level at 7.36 states/eV/cell. As for the space group: I4/mmm, No. 139.

10.
Density functional theory data (PBE-GGA) for an optimized crystal structure of LiBe2Ge2.

Structure (extended XYZ):
```
10
Lattice="3.783 0.000 0.000 0.000 3.783 0.000 0.000 0.000 10.480" Properties=species:S:1:pos:R:3 pbc="T T T"
Li 0.000 0.000 0.000
Li 1.891 1.891 5.240
Be 0.000 0.000 4.178
Be 0.000 0.000 6.301
Be 1.891 1.891 1.062
Be 1.891 1.891 9.418
Ge 0.000 1.891 2.620
Ge 0.000 1.891 7.860
Ge 1.891 0.000 2.620
Ge 1.891 0.000 7.860
```

Calculated values
Its crystal system is tetragonal. For the total energy, the calculation gives -3.5443 eV per atom. The calculation puts the density of states at the Fermi level at 2.10 states/eV/cell. Its formation enthalpy at 0 K is 0.176 eV/atom. As for the space group: I4/mmm, No. 139.

11.
Density functional theory data (PBE-GGA) for an optimized crystal structure of Rb2Se5S4.

Structure (extended XYZ):
```
11
Lattice="5.100 0.000 0.000 -1.113 6.274 0.000 -1.778 -3.051 11.593" Properties=species:S:1:pos:R:3 pbc="T T T"
Rb 0.000 0.000 0.000
Rb 0.442 -1.429 6.315
Se -1.011 1.343 8.836
Se 0.266 2.196 3.118
Se 1.919 0.495 3.403
Se 1.826 3.850 1.459
Se 3.585 1.377 4.823
S -0.153 -0.577 9.810
S 0.594 1.935 7.370
S 1.143 -0.136 11.358
S 1.864 3.334 8.142
```

Calculated values
The calculation puts the formation energy from raw total energies at -0.36 eV per atom. Its crystal system is triclinic. For the total energy, the calculation gives -3.6201 eV per atom. As for the space group: P1, No. 1.

12.
Density functional theory data (PBE-GGA) for an optimized crystal structure of Te2PI.

Structure (extended XYZ):
```
12
Lattice="4.123 0.000 0.000 -2.062 3.571 0.000 0.000 0.000 27.097" Properties=species:S:1:pos:R:3 pbc="T T T"
Te 0.000 0.000 2.975
Te 0.000 0.000 24.122
Te 0.000 2.381 15.090
Te 0.000 2.381 21.039
Te 2.062 1.190 6.058
Te 2.062 1.190 12.007
P 0.000 0.000 13.548
P 0.000 2.381 4.516
P 2.062 1.190 22.581
I 0.000 0.000 0.000
I 0.000 2.381 18.065
I 2.062 1.190 9.032
```

Calculated values
The calculation puts the formation energy from raw total energies at 0.19 eV per atom. Its crystal system is trigonal. As for the excess energy over the best structure of this formula in the dataset: 0.000 eV per atom. For the total energy, the calculation gives -3.1175 eV per atom. The calculation puts the density of states at the Fermi level at 4.80 states/eV/cell. As for the space group: R-3m, No. 166.

What is the formula in the fifth record? Na2MnCdAu

Repeat the twelfth record exactly.
Density functional theory data (PBE-GGA) for an optimized crystal structure of Te2PI.

Structure (extended XYZ):
```
12
Lattice="4.123 0.000 0.000 -2.062 3.571 0.000 0.000 0.000 27.097" Properties=species:S:1:pos:R:3 pbc="T T T"
Te 0.000 0.000 2.975
Te 0.000 0.000 24.122
Te 0.000 2.381 15.090
Te 0.000 2.381 21.039
Te 2.062 1.190 6.058
Te 2.062 1.190 12.007
P 0.000 0.000 13.548
P 0.000 2.381 4.516
P 2.062 1.190 22.581
I 0.000 0.000 0.000
I 0.000 2.381 18.065
I 2.062 1.190 9.032
```

Calculated values
The calculation puts the formation energy from raw total energies at 0.19 eV per atom. Its crystal system is trigonal. As for the excess energy over the best structure of this formula in the dataset: 0.000 eV per atom. For the total energy, the calculation gives -3.1175 eV per atom. The calculation puts the density of states at the Fermi level at 4.80 states/eV/cell. As for the space group: R-3m, No. 166.

Please write out number 8 again, unchanged.
Density functional theory data (PBE-GGA) for an optimized crystal structure of Y3Ge2Pd7.

Structure (extended XYZ):
```
12
Lattice="-2.025 2.025 13.762 2.025 -2.025 13.762 2.025 2.025 -13.762" Properties=species:S:1:pos:R:3 pbc="T T T"
Y 0.000 0.000 0.000
Y 0.000 0.000 4.786
Y 0.000 0.000 22.738
Ge 0.000 0.000 10.151
Ge 0.000 0.000 17.373
Pd 2.025 0.000 2.157
Pd 0.000 0.000 7.643
Pd 2.025 0.000 11.605
Pd 0.000 0.000 13.762
Pd 0.000 2.025 2.157
Pd 0.000 0.000 19.881
Pd 0.000 2.025 11.605
```

Calculated values
Its crystal system is tetragonal. For the total energy, the calculation gives -6.2256 eV per atom. The calculation puts the density of states at the Fermi level at 7.80 states/eV/cell. Its formation enthalpy at 0 K is -0.811 eV/atom. As for the space group: I4/mmm, No. 139.